No. 1
Below is Li3In8 after structural relaxation, with properties calculated at the PBE level.

Cell lengths 4.4359, 5.5454, 11.7916 Å; angles 102.96, 90.00, 113.58 degrees
Closest atoms and distances in Å follow each position.
Positions (direct):
Li  0.0000  0.0000  0.0000  12 In 3.19-3.35
Li  0.9072  0.8145  0.3571  11 In 3.14-3.29, 1 Li 3.43
Li  0.0928  0.1855  0.6429  11 In 3.14-3.29, 1 Li 3.43
In  0.6340  0.2681  0.4597  7 In 3.10-3.34, 5 Li 3.19-3.29
In  0.1847  0.3694  0.2770  4 Li 3.14-3.35, 8 In 3.20-3.24
In  0.8153  0.6306  0.7230  4 Li 3.14-3.35, 8 In 3.20-3.24
In  0.4565  0.9131  0.1813  4 Li 3.16-3.19, 8 In 3.20-3.34
In  0.7274  0.4547  0.0889  8 In 3.16-3.28, 4 Li 3.19-3.24
In  0.3660  0.7319  0.5403  7 In 3.10-3.34, 5 Li 3.19-3.29
In  0.2726  0.5453  0.9111  8 In 3.16-3.28, 4 Li 3.19-3.24
In  0.5435  0.0869  0.8187  4 Li 3.16-3.19, 8 In 3.20-3.34

Computed properties:
Density of states at the Fermi level ... 0.369 states/eV/atom
Calculated total energy ... -2.653 eV/atom
Space group ... C2/m, No. 12
Energy above the lowest structure with this stoichiometry ... 0 meV/atom



No. 2
Below is Cs3Rb2Au3 after structural relaxation, with properties calculated at the PBE level.

Cell lengths 4.4455, 6.1744, 15.5622 Å; angles 101.44, 98.21, 90.00 degrees
Closest atoms and distances in Å follow each position.
Positions (direct):
Au  0.8933  0.8933  0.7866  2 Rb 3.57, 6 Cs 3.81-3.91
Au  0.0000  0.5000  0.0000  8 Cs 3.69-3.80
Au  0.1067  0.1067  0.2134  2 Rb 3.57, 6 Cs 3.81-3.91
Rb  0.6991  0.1991  0.3982  2 Au 3.57
Rb  0.3009  0.8009  0.6018  2 Au 3.57
Cs  0.4023  0.4023  0.8046  6 Au 3.69-3.81
Cs  0.5977  0.5977  0.1954  6 Au 3.69-3.81
Cs  0.5000  0.0000  0.0000  8 Au 3.80-3.91

Computed properties:
Density of states at the Fermi level ... 0.336 states/eV/atom
Calculated total energy ... -2.036 eV/atom
Space group ... Immm, No. 71
Energy above the lowest structure with this stoichiometry ... 0 meV/atom



No. 3
Below is HgBi3Te3 after structural relaxation, with properties calculated at the PBE level.

Cell lengths 6.3368, 9.6372, 9.6372 Å; angles 120.00, 90.00, 90.00 degrees
Closest atoms and distances in Å follow each position.
Positions (direct):
Te  0.2500  0.3205  0.3842  5 Bi 3.18-3.52
Te  0.2500  0.0638  0.6795  5 Bi 3.18-3.52
Te  0.7500  0.6795  0.6158  5 Bi 3.18-3.52
Te  0.7500  0.9362  0.3205  5 Bi 3.18-3.52
Te  0.7500  0.3842  0.0638  5 Bi 3.18-3.52
Te  0.2500  0.6158  0.9362  5 Bi 3.18-3.52
Bi  0.7500  0.2689  0.3252  1 Hg 3.03, 4 Te 3.18-3.22
Bi  0.2500  0.7311  0.6748  1 Hg 3.03, 4 Te 3.18-3.22
Bi  0.2500  0.3252  0.0564  1 Hg 3.03, 4 Te 3.18-3.22
Bi  0.2500  0.9436  0.2689  1 Hg 3.03, 4 Te 3.18-3.22
Bi  0.7500  0.6748  0.9436  1 Hg 3.03, 4 Te 3.18-3.22
Bi  0.7500  0.0564  0.7311  1 Hg 3.03, 4 Te 3.18-3.22
Hg  0.2500  0.6667  0.3333  3 Bi 3.03
Hg  0.7500  0.3333  0.6667  3 Bi 3.03

Computed properties:
Density of states at the Fermi level ... 0.615 states/eV/atom
Calculated total energy ... -3.041 eV/atom
Formation energy without anion corrections ... 8.3 kJ/mol of formula units
Space group ... P6_3/m, No. 176



No. 4
Below is Dy3HgPt after structural relaxation, with properties calculated at the PBE level.

Cell lengths 4.7023, 6.8553, 8.4423 Å; angles 90.00, 90.00, 90.00 degrees
Closest atoms and distances in Å follow each position.
Positions (direct):
Dy  0.7500  0.7500  0.0553  1 Pt 2.84, 2 Hg 3.05
Dy  0.7500  0.9992  0.6621  3 Pt 2.85-2.95
Dy  0.2500  0.0008  0.3379  3 Pt 2.85-2.95
Dy  0.2500  0.4992  0.3379  3 Pt 2.85-2.95
Dy  0.7500  0.5008  0.6621  3 Pt 2.85-2.95
Dy  0.2500  0.2500  0.9447  1 Pt 2.84, 2 Hg 3.05
Hg  0.7500  0.2500  0.1749  6 Dy 3.05-3.22
Hg  0.2500  0.7500  0.8251  6 Dy 3.05-3.22
Pt  0.2500  0.2500  0.6085  7 Dy 2.84-2.95
Pt  0.7500  0.7500  0.3915  7 Dy 2.84-2.95

Computed properties:
Density of states at the Fermi level ... 1.066 states/eV/atom
Calculated total energy ... -4.714 eV/atom
Space group ... Pmmn, No. 59
Energy above the lowest structure with this stoichiometry ... 0 meV/atom



No. 5
Below is LiMn3Pt4 after structural relaxation, with properties calculated at the PBE level.

Cell lengths 3.4819, 4.1212, 8.1952 Å; angles 90.00, 90.00, 90.00 degrees
Closest atoms and distances in Å follow each position.
Positions (direct):
Pt  0.0000  0.5000  0.2481  2 Li 2.68, 6 Mn 2.70, 4 Pt 2.89-2.92
Pt  0.0000  0.0000  0.5000  8 Mn 2.70-2.73, 4 Pt 2.92
Pt  0.0000  0.0000  0.0000  4 Mn 2.65, 4 Li 2.70, 4 Pt 2.89
Pt  0.0000  0.5000  0.7519  2 Li 2.68, 6 Mn 2.70, 4 Pt 2.89-2.92
Mn  0.5000  0.0000  0.2441  8 Pt 2.65-2.73, 2 Li 2.87, 2 Mn 2.94
Mn  0.5000  0.0000  0.7559  8 Pt 2.65-2.73, 2 Li 2.87, 2 Mn 2.94
Mn  0.5000  0.5000  0.5000  8 Pt 2.70, 4 Mn 2.94
Li  0.5000  0.5000  0.0000  8 Pt 2.68-2.70, 4 Mn 2.87

Computed properties:
Density of states at the Fermi level ... 0.423 states/eV/atom
Calculated total energy ... -7.128 eV/atom
Space group ... Pmmm, No. 47



No. 6
Below is Ag3Te2 after structural relaxation, with properties calculated at the PBE level.

Cell lengths 8.1933, 8.1933, 8.1933 Å; angles 30.06, 30.06, 30.06 degrees
Closest atoms and distances in Å follow each position.
Positions (direct):
Ag  0.1986  0.1986  0.1986  3 Te 2.85, 3 Ag 2.87
Ag  0.0000  0.0000  0.0000  6 Te 3.00
Ag  0.8014  0.8014  0.8014  3 Te 2.85, 3 Ag 2.87
Te  0.4066  0.4066  0.4066  6 Ag 2.85-3.00
Te  0.5934  0.5934  0.5934  6 Ag 2.85-3.00

Computed properties:
Density of states at the Fermi level ... 0.487 states/eV/atom
Calculated total energy ... -2.917 eV/atom
Formation energy without anion corrections ... 24.3 kJ/mol of formula units
Space group ... R-3m, No. 166
Energy above the lowest structure with this stoichiometry ... 80 meV/atom



No. 7
Below is CaTb4Th after structural relaxation, with properties calculated at the PBE level.

Cell lengths 6.6414, 6.6414, 6.6414 Å; angles 60.00, 60.00, 60.00 degrees
Closest atoms and distances in Å follow each position.
Positions (direct):
Tb  0.1194  0.6269  0.6269  6 Tb 3.27-3.37
Tb  0.6269  0.6269  0.1194  6 Tb 3.27-3.37
Tb  0.6269  0.1194  0.6269  6 Tb 3.27-3.37
Tb  0.6269  0.6269  0.6269  6 Tb 3.27-3.37
Th  0.0000  0.0000  0.0000  12 Tb 3.89, 4 Ca 4.07
Ca  0.2500  0.2500  0.2500  12 Tb 3.90, 4 Th 4.07

Computed properties:
Density of states at the Fermi level ... 1.432 states/eV/atom
Calculated total energy ... -4.361 eV/atom
Space group ... F-43m, No. 216



No. 8
Below is TlPdF2 after structural relaxation, with properties calculated at the PBE level.

Cell lengths 4.6830, 4.6830, 7.8802 Å; angles 72.71, 72.71, 90.00 degrees
Closest atoms and distances in Å follow each position.
Positions (direct):
Pd  0.5000  0.5000  0.0000  4 F 2.26
Pd  0.2500  0.7500  0.5000  4 F 2.26
F  0.8750  0.7828  0.7500  2 Pd 2.26
F  0.2172  0.6250  0.2500  2 Pd 2.26
F  0.3750  0.4672  0.7500  2 Pd 2.26
F  0.5328  0.1250  0.2500  2 Pd 2.26
Tl  0.7500  0.2500  0.5000  4 F 2.67
Tl  0.0000  0.0000  0.0000  4 F 2.67

Computed properties:
Density of states at the Fermi level ... 0.132 states/eV/atom
Calculated total energy ... -3.827 eV/atom
Formation energy without anion corrections ... -386.6 kJ/mol of formula units
Space group ... I-42d, No. 122
Energy above the lowest structure with this stoichiometry ... 78 meV/atom



No. 9
Below is Ac5TmHg6 after structural relaxation, with properties calculated at the PBE level.

Cell lengths 5.6140, 7.9789, 9.7736 Å; angles 65.91, 73.46, 90.00 degrees
Closest atoms and distances in Å follow each position.
Positions (direct):
Hg  0.8430  0.0771  0.3131  1 Tm 3.24, 7 Ac 3.38-3.60
Hg  0.5000  0.7791  0.0000  2 Tm 3.31, 6 Ac 3.41-3.58, 1 Hg 3.52
Hg  0.1570  0.9229  0.6869  1 Tm 3.24, 7 Ac 3.38-3.60
Hg  0.8430  0.6098  0.3131  1 Tm 3.24, 7 Ac 3.38-3.60
Hg  0.1570  0.3902  0.6869  1 Tm 3.24, 7 Ac 3.38-3.60
Hg  0.5000  0.2209  0.0000  2 Tm 3.31, 6 Ac 3.41-3.58, 1 Hg 3.52
Ac  0.3361  0.3362  0.3276  8 Hg 3.52-3.57, 1 Ac 3.94
Ac  0.6639  0.6638  0.6724  8 Hg 3.52-3.57, 1 Ac 3.94
Ac  0.0000  0.5000  0.0000  8 Hg 3.40-3.58
Ac  0.3273  0.8277  0.3446  8 Hg 3.38-3.60
Ac  0.6726  0.1723  0.6554  8 Hg 3.38-3.60
Tm  0.0000  0.0000  0.0000  8 Hg 3.24-3.31

Computed properties:
Density of states at the Fermi level ... 1.074 states/eV/atom
Calculated total energy ... -2.687 eV/atom
Space group ... C2/m, No. 12



No. 10
Below is SmTh3 after structural relaxation, with properties calculated at the PBE level.

Cell lengths 3.5638, 5.9386, 6.1935 Å; angles 90.00, 90.00, 90.00 degrees
Closest atoms and distances in Å follow each position.
Positions (direct):
Sm  0.0000  0.5000  0.3286  10 Th 3.56-3.63, 2 Sm 3.56
Th  0.5000  0.0000  0.5041  8 Th 3.56-3.60, 4 Sm 3.63
Th  0.0000  0.0000  0.0024  10 Th 3.56-3.62, 2 Sm 3.59
Th  0.5000  0.5000  0.8315  4 Sm 3.56-3.59, 8 Th 3.56-3.62

Computed properties:
Density of states at the Fermi level ... 1.016 states/eV/atom
Calculated total energy ... -6.684 eV/atom
Space group ... Pmm2, No. 25
Energy above the lowest structure with this stoichiometry ... 11 meV/atom



No. 11
Below is CsWSN2 after structural relaxation, with properties calculated at the PBE level.

Cell lengths 4.1393, 4.1393, 6.3805 Å; angles 90.00, 90.00, 90.00 degrees
Closest atoms and distances in Å follow each position.
Positions (direct):
N  0.0000  0.5000  0.0000  2 Cs 2.07
N  0.5000  0.0000  0.0000  2 Cs 2.07
W  0.5000  0.5000  0.5000  4 S 2.93
S  0.0000  0.0000  0.5000  4 W 2.93, 2 Cs 3.19
Cs  0.0000  0.0000  0.0000  4 N 2.07

Computed properties:
Density of states at the Fermi level ... 0.949 states/eV/atom
Calculated total energy ... -3.818 eV/atom
Formation energy without anion corrections ... 1495.0 kJ/mol of formula units
Space group ... P4/mmm, No. 123



No. 12
Below is SrTl6Pb23 after structural relaxation, with properties calculated at the PBE level.

Cell lengths 11.1854, 11.1854, 11.1854 Å; angles 60.00, 60.00, 60.00 degrees
Closest atoms and distances in Å follow each position.
Positions (direct):
Tl  0.7486  0.7486  0.2514  8 Pb 3.50-3.53
Tl  0.2514  0.7486  0.2514  8 Pb 3.50-3.53
Tl  0.2514  0.7486  0.7486  8 Pb 3.50-3.53
Tl  0.7486  0.2514  0.7486  8 Pb 3.50-3.53
Tl  0.7486  0.2514  0.2514  8 Pb 3.50-3.53
Tl  0.2514  0.2514  0.7486  8 Pb 3.50-3.53
Pb  0.8689  0.8689  0.8689  7 Pb 3.37-3.68, 3 Tl 3.50
Pb  0.5000  0.0000  0.0000  8 Pb 3.33-3.37
Pb  0.1311  0.1311  0.6066  7 Pb 3.37-3.68, 3 Tl 3.50
Pb  0.1311  0.1311  0.1311  7 Pb 3.37-3.68, 3 Tl 3.50
Pb  0.3934  0.8689  0.8689  7 Pb 3.37-3.68, 3 Tl 3.50
Pb  0.3634  0.9099  0.3634  6 Pb 3.33-3.68, 3 Tl 3.53
Pb  0.0000  0.5000  0.5000  8 Pb 3.33-3.37
Pb  0.0000  0.0000  0.5000  8 Pb 3.33-3.37
Pb  0.0000  0.0000  0.0000  8 Pb 3.59, 6 Tl 3.98
Pb  0.5000  0.5000  0.0000  8 Pb 3.33-3.37
Pb  0.1311  0.6066  0.1311  7 Pb 3.37-3.68, 3 Tl 3.50
Pb  0.6366  0.6366  0.0901  6 Pb 3.33-3.68, 3 Tl 3.53
Pb  0.9099  0.3634  0.3634  6 Pb 3.33-3.68, 3 Tl 3.53
Pb  0.6366  0.6366  0.6366  6 Pb 3.33-3.68, 3 Tl 3.53
Pb  0.5000  0.0000  0.5000  8 Pb 3.33-3.37
Pb  0.3634  0.3634  0.3634  6 Pb 3.33-3.68, 3 Tl 3.53
Pb  0.8689  0.3934  0.8689  7 Pb 3.37-3.68, 3 Tl 3.50
Pb  0.0000  0.5000  0.0000  8 Pb 3.33-3.37
Pb  0.0901  0.6366  0.6366  6 Pb 3.33-3.68, 3 Tl 3.53
Pb  0.8689  0.8689  0.3934  7 Pb 3.37-3.68, 3 Tl 3.50
Pb  0.6066  0.1311  0.1311  7 Pb 3.37-3.68, 3 Tl 3.50
Pb  0.3634  0.3634  0.9099  6 Pb 3.33-3.68, 3 Tl 3.53
Pb  0.6366  0.0901  0.6366  6 Pb 3.33-3.68, 3 Tl 3.53
Sr  0.5000  0.5000  0.5000  8 Pb 3.74, 6 Tl 3.93

Computed properties:
Density of states at the Fermi level ... 0.542 states/eV/atom
Calculated total energy ... -3.347 eV/atom
Space group ... Fm-3m, No. 225



No. 13
Below is Li2ZnRe after structural relaxation, with properties calculated at the PBE level.

Cell lengths 2.5101, 4.4471, 5.2132 Å; angles 90.00, 90.00, 90.00 degrees
Closest atoms and distances in Å follow each position.
Positions (direct):
Li  0.0000  0.0000  0.0157  3 Li 2.44-2.51
Li  0.0000  0.0000  0.4843  3 Li 2.44-2.51
Re  0.5000  0.5000  0.2500  2 Re 2.51, 2 Zn 2.61
Zn  0.5000  0.5000  0.7500  2 Zn 2.51, 2 Re 2.61

Computed properties:
Density of states at the Fermi level ... 0.567 states/eV/atom
Calculated total energy ... -4.108 eV/atom
Space group ... Pmmm, No. 47



No. 14
Below is RbCd2GeS after structural relaxation, with properties calculated at the PBE level.

Cell lengths 5.3769, 5.4276, 5.3769 Å; angles 90.00, 90.00, 90.00 degrees
Closest atoms and distances in Å follow each position.
Positions (direct):
S  0.0000  0.0000  0.0000  4 Cd 2.69, 2 Ge 2.71
Ge  0.0000  0.5000  0.0000  2 S 2.71
Cd  0.0000  0.0000  0.5000  2 S 2.69
Cd  0.5000  0.0000  0.0000  2 S 2.69
Rb  0.5000  0.5000  0.5000  4 Ge 3.80, 8 Cd 3.82

Computed properties:
Density of states at the Fermi level ... 0.641 states/eV/atom
Calculated total energy ... -2.056 eV/atom
Formation energy without anion corrections ... 121.6 kJ/mol of formula units
Space group ... P4/mmm, No. 123



No. 15
Below is ThMgC after structural relaxation, with properties calculated at the PBE level.

Cell lengths 3.8095, 3.8095, 8.3811 Å; angles 90.00, 90.00, 90.00 degrees
Closest atoms and distances in Å follow each position.
Positions (direct):
C  0.5000  0.0000  0.3630  1 Mg 2.28, 1 Th 2.41
C  0.0000  0.5000  0.6370  1 Mg 2.28, 1 Th 2.41
Mg  0.5000  0.0000  0.0913  1 C 2.28
Mg  0.0000  0.5000  0.9087  1 C 2.28
Th  0.0000  0.5000  0.3497  5 C 2.41-2.70
Th  0.5000  0.0000  0.6503  5 C 2.41-2.70

Computed properties:
Density of states at the Fermi level ... 0.159 states/eV/atom
Calculated total energy ... -6.295 eV/atom
Space group ... P4/nmm, No. 129
Energy above the lowest structure with this stoichiometry ... 0 meV/atom